Record 1
A plane-wave DFT calculation with PBE was carried out for a geometry-optimized CuPd6Rh structure.

Its total magnetization is 1.95 μB per cell. The calculated density is 10.78 g cm⁻³. The relative energy among the computed polymorphs is 0.140 eV per atom. The value obtained for the formation enthalpy at 0 K is 0.148 eV/atom. Its final energy is -5.18 eV/atom.

```
CuPd6Rh
1.0
4.9827 0.0000 0.0000
-0.2463 4.9874 0.0000
-0.2605 -0.2706 4.9890
Cu Pd Rh
1 6 1
Direct
0.0000 0.0000 0.0000
0.0236 0.7499 0.4631
0.2501 0.5377 0.9741
0.4655 0.0239 0.7499
0.5345 0.9761 0.2501
0.7499 0.4623 0.0259
0.9764 0.2501 0.5369
0.5000 0.5000 0.5000
```



Record 2
A plane-wave DFT calculation with PBE was carried out for a geometry-optimized Cu4PdRh structure.

Its total magnetization is 0.00 μB per cell. The calculated density is 9.86 g cm⁻³. The relative energy among the computed polymorphs is 0.000 eV per atom. The value obtained for the formation enthalpy at 0 K is 0.006 eV/atom. Its final energy is -4.82 eV/atom.

```
Cu4PdRh
1.0
4.3280 0.0000 0.0000
0.0000 5.6775 0.0000
-1.4280 0.0000 6.3564
Cu Pd Rh
8 2 2
Direct
0.0000 0.0000 0.0000
0.0000 0.5000 0.0000
0.2860 0.0013 0.6806
0.2860 0.4987 0.6806
0.4981 0.7500 0.0014
0.5019 0.2500 0.9986
0.7140 0.5013 0.3194
0.7140 0.9987 0.3194
0.2183 0.2500 0.3355
0.7817 0.7500 0.6645
0.2164 0.7500 0.3340
0.7836 0.2500 0.6660
```



Record 3
A plane-wave DFT calculation with PBE was carried out for a geometry-optimized Cu2Pd7Rh2 structure.

Its total magnetization is 0.00 μB per cell. The calculated density is 10.78 g cm⁻³. The value obtained for the formation enthalpy at 0 K is 0.103 eV/atom. Its final energy is -5.28 eV/atom.

```
Cu2Pd7Rh2
1.0
3.4536 -3.7135 0.0000
3.4536 3.7135 0.0000
-1.3028 0.0000 6.4727
Cu Pd Rh
2 7 2
Direct
0.1788 0.8212 0.0000
0.8212 0.1788 0.0000
0.0413 0.4229 0.7041
0.3408 0.3408 0.0811
0.4229 0.0413 0.7041
0.5000 0.5000 0.5000
0.5771 0.9587 0.2959
0.6592 0.6592 0.9189
0.9587 0.5771 0.2959
0.0986 0.0986 0.3553
0.9014 0.9014 0.6447
```



Record 4
A plane-wave DFT calculation with PBE was carried out for a geometry-optimized CuPd5Rh structure.

Its total magnetization is 0.00 μB per cell. The calculated density is 10.38 g cm⁻³. The value obtained for the formation enthalpy at 0 K is 0.273 eV/atom. Its final energy is -5.07 eV/atom.

```
CuPd5Rh
1.0
4.3914 -4.2737 0.0000
4.3914 4.2737 0.0000
-2.8073 0.0000 5.9534
Cu Pd Rh
2 10 2
Direct
0.2105 0.7895 0.7500
0.7895 0.2105 0.2500
0.0737 0.9263 0.2500
0.1656 0.3306 0.6198
0.3045 0.5789 0.4048
0.3306 0.1656 0.1198
0.4211 0.6955 0.0952
0.5789 0.3045 0.9048
0.6694 0.8344 0.8802
0.6955 0.4211 0.5952
0.8344 0.6694 0.3802
0.9263 0.0737 0.7500
0.0000 0.5000 0.0000
0.5000 0.0000 0.5000
```



Record 5
A plane-wave DFT calculation with PBE was carried out for a geometry-optimized Cu2PdRh structure.

Its total magnetization is 1.32 μB per cell. The calculated density is 10.31 g cm⁻³. The value obtained for the formation enthalpy at 0 K is 0.033 eV/atom. Its final energy is -5.15 eV/atom.

```
Cu2PdRh
1.0
2.9736 0.0000 0.0000
0.0000 2.9736 0.0000
0.0000 0.0000 6.1252
Cu Pd Rh
2 1 1
Direct
0.0000 0.0000 0.2455
0.0000 0.0000 0.7545
0.5000 0.5000 0.5000
0.5000 0.5000 0.0000
```



Record 6
A plane-wave DFT calculation with PBE was carried out for a geometry-optimized CuPdRhS4 structure.

Its total magnetization is 0.00 μB per cell. The calculated density is 5.39 g cm⁻³. Its final energy is -5.09 eV/atom.

```
CuPdRhS4
1.0
-3.5194 3.5297 4.9715
3.5194 -3.5297 4.9715
3.5194 3.5297 -4.9715
Cu Pd Rh S
2 2 2 8
Direct
0.3775 0.1275 0.2500
0.6225 0.8725 0.7500
0.0000 0.5000 0.5000
0.5000 0.5000 0.0000
0.0000 0.0000 0.5000
0.0000 0.5000 0.0000
0.2200 0.7426 0.4774
0.2348 0.2574 0.9774
0.2393 0.2555 0.5162
0.2393 0.7231 0.9838
0.7607 0.2769 0.0162
0.7607 0.7445 0.4838
0.7652 0.7426 0.0226
0.7800 0.2574 0.5226
```



Record 7
A plane-wave DFT calculation with PBE was carried out for a geometry-optimized CuSbPdRh structure.

Its total magnetization is 0.00 μB per cell. The calculated density is 10.51 g cm⁻³. Its final energy is -5.45 eV/atom.

```
CuSbPdRh
1.0
0.0000 3.1474 3.1474
3.1474 0.0000 3.1474
3.1474 3.1474 0.0000
Cu Sb Pd Rh
1 1 1 1
Direct
0.0000 0.0000 0.0000
0.5000 0.5000 0.5000
0.2500 0.2500 0.2500
0.7500 0.7500 0.7500
```



Record 8
A plane-wave DFT calculation with PBE was carried out for a geometry-optimized ScCuPdRh structure.

Its total magnetization is 0.00 μB per cell. The calculated density is 8.73 g cm⁻³. The value obtained for the formation enthalpy at 0 K is -0.650 eV/atom. Its final energy is -6.39 eV/atom.

```
ScCuPdRh
1.0
3.6544 0.0000 0.0000
0.0000 4.0020 0.0000
0.0000 0.0000 4.1350
Sc Cu Pd Rh
1 1 1 1
Direct
0.0000 0.0000 0.0000
0.0000 0.5000 0.5000
0.5000 0.0000 0.5000
0.5000 0.5000 0.0000
```



Which of these has the lowest final energy? ScCuPdRh



The lowest calculated density belongs to which entry? CuPdRhS4



What is the final energy in the eighth record? -6.39 eV/atom



The lowest final energy belongs to which entry? ScCuPdRh